Entry a
DFT (PBE+U) results for Cr2WF after structural relaxation.

Cell lengths 6.4958, 6.4958, 6.4958 Å; angles 90.00, 90.00, 90.00 degrees
Fractional coordinates of all 16 atoms:
Cr (0.2500, 0.2500, 0.2500)
Cr (0.2500, 0.2500, 0.7500)
Cr (0.2500, 0.7500, 0.2500)
Cr (0.2500, 0.7500, 0.7500)
Cr (0.7500, 0.2500, 0.2500)
Cr (0.7500, 0.2500, 0.7500)
Cr (0.7500, 0.7500, 0.2500)
Cr (0.7500, 0.7500, 0.7500)
W (0.0000, 0.0000, 0.0000)
W (0.0000, 0.5000, 0.5000)
W (0.5000, 0.0000, 0.5000)
W (0.5000, 0.5000, 0.0000)
F (0.0000, 0.0000, 0.5000)
F (0.0000, 0.5000, 0.0000)
F (0.5000, 0.0000, 0.0000)
F (0.5000, 0.5000, 0.5000)

Output
The theoretical density is 7.4 Mg/m³. The spin magnetization comes out at 19.93 μB per cell.

Entry b
DFT (PBE+U) results for Cr2WF after structural relaxation.

Cell lengths 7.2222, 7.2222, 5.3212 Å; angles 90.00, 90.00, 90.00 degrees
Fractional coordinates of all 16 atoms:
Cr (0.1857, 0.2500, 0.1250)
Cr (0.2500, 0.6857, 0.3750)
Cr (0.2500, 0.8143, 0.8750)
Cr (0.3143, 0.2500, 0.6250)
Cr (0.6857, 0.7500, 0.6250)
Cr (0.7500, 0.1857, 0.8750)
Cr (0.7500, 0.3143, 0.3750)
Cr (0.8143, 0.7500, 0.1250)
W (0.0000, 0.0000, 0.5000)
W (0.0000, 0.5000, 0.7500)
W (0.5000, 0.0000, 0.2500)
W (0.5000, 0.5000, 0.0000)
F (0.0000, 0.0000, 0.0000)
F (0.0000, 0.5000, 0.2500)
F (0.5000, 0.0000, 0.7500)
F (0.5000, 0.5000, 0.5000)

Output
The theoretical density is 7.3 Mg/m³. The spin magnetization comes out at 24.52 μB per cell.

How far above the most stable structure does each one sit? In meV per atom: entry a 217; entry b 0.

Entry a
DFT (PBE+U) results for YCr2F2 after structural relaxation.

Cell lengths 5.9451, 5.9451, 5.9707 Å; angles 90.00, 90.00, 90.00 degrees
Fractional coordinates of all 10 atoms:
Y (0.0000, 0.0000, 0.0000)
Y (0.5000, 0.5000, 0.0000)
Cr (0.1882, 0.3118, 0.5000)
Cr (0.3118, 0.8118, 0.5000)
Cr (0.6882, 0.1882, 0.5000)
Cr (0.8118, 0.6882, 0.5000)
F (0.1814, 0.3186, 0.0000)
F (0.3186, 0.8186, 0.0000)
F (0.6814, 0.1814, 0.0000)
F (0.8186, 0.6814, 0.0000)

Output
The theoretical density is 3.6 Mg/m³. The spin magnetization comes out at 20.12 μB per cell.

Entry b
DFT (PBE+U) results for YCr2F2 after structural relaxation.

Cell lengths 3.8116, 3.8116, 12.0331 Å; angles 90.00, 90.00, 90.00 degrees
Fractional coordinates of all 10 atoms:
Y (0.0000, 0.0000, 0.0000)
Y (0.5000, 0.5000, 0.5000)
Cr (0.0000, 0.5000, 0.2500)
Cr (0.0000, 0.5000, 0.7500)
Cr (0.5000, 0.0000, 0.2500)
Cr (0.5000, 0.0000, 0.7500)
F (0.0000, 0.0000, 0.4040)
F (0.0000, 0.0000, 0.5960)
F (0.5000, 0.5000, 0.0960)
F (0.5000, 0.5000, 0.9040)

Output
The theoretical density is 4.4 Mg/m³. The spin magnetization comes out at 18.70 μB per cell.

How far above the most stable structure does each one sit? In meV per atom: entry a 0; entry b 716.

Entry a
DFT (PBE+U) results for YCr3F after structural relaxation.

Cell lengths 5.8811, 5.8811, 5.8811 Å; angles 90.00, 90.00, 90.00 degrees
Fractional coordinates of all 5 atoms:
Y (0.0000, 0.0000, 0.0000)
Cr (0.0000, 0.0000, 0.5000)
Cr (0.0000, 0.5000, 0.0000)
Cr (0.5000, 0.0000, 0.0000)
F (0.5000, 0.5000, 0.5000)

Output
The theoretical density is 2.2 Mg/m³. The spin magnetization comes out at 16.09 μB per cell.

Entry b
DFT (PBE+U) results for YCr3F after structural relaxation.

Cell lengths 4.6848, 4.6848, 4.6848 Å; angles 90.00, 90.00, 90.00 degrees
Fractional coordinates of all 5 atoms:
Y (0.0000, 0.0000, 0.0000)
Cr (0.0000, 0.5000, 0.5000)
Cr (0.5000, 0.0000, 0.5000)
Cr (0.5000, 0.5000, 0.0000)
F (0.5000, 0.5000, 0.5000)

Output
The theoretical density is 4.3 Mg/m³. The spin magnetization comes out at 13.45 μB per cell.

How far above the most stable structure does each one sit? In meV per atom: entry a 1343; entry b 0.

Entry a
DFT (PBE+U) results for YCr2F after structural relaxation.

Cell lengths 7.0900, 7.0900, 7.0900 Å; angles 90.00, 90.00, 90.00 degrees
Fractional coordinates of all 16 atoms:
Y (0.0000, 0.0000, 0.0000)
Y (0.0000, 0.5000, 0.5000)
Y (0.5000, 0.0000, 0.5000)
Y (0.5000, 0.5000, 0.0000)
Cr (0.2500, 0.2500, 0.2500)
Cr (0.2500, 0.2500, 0.7500)
Cr (0.2500, 0.7500, 0.2500)
Cr (0.2500, 0.7500, 0.7500)
Cr (0.7500, 0.2500, 0.2500)
Cr (0.7500, 0.2500, 0.7500)
Cr (0.7500, 0.7500, 0.2500)
Cr (0.7500, 0.7500, 0.7500)
F (0.0000, 0.0000, 0.5000)
F (0.0000, 0.5000, 0.0000)
F (0.5000, 0.0000, 0.0000)
F (0.5000, 0.5000, 0.5000)

Output
The theoretical density is 3.9 Mg/m³. The spin magnetization comes out at 40.36 μB per cell.

Entry b
DFT (PBE+U) results for YCr2F after structural relaxation.

Cell lengths 8.5753, 8.5753, 4.6943 Å; angles 90.00, 90.00, 90.00 degrees
Fractional coordinates of all 16 atoms:
Y (0.0000, 0.0000, 0.0000)
Y (0.0000, 0.5000, 0.2500)
Y (0.5000, 0.0000, 0.7500)
Y (0.5000, 0.5000, 0.5000)
Cr (0.1655, 0.2500, 0.6250)
Cr (0.2500, 0.6655, 0.8750)
Cr (0.2500, 0.8345, 0.3750)
Cr (0.3345, 0.2500, 0.1250)
Cr (0.6655, 0.7500, 0.1250)
Cr (0.7500, 0.1655, 0.3750)
Cr (0.7500, 0.3345, 0.8750)
Cr (0.8345, 0.7500, 0.6250)
F (0.0000, 0.0000, 0.5000)
F (0.0000, 0.5000, 0.7500)
F (0.5000, 0.0000, 0.2500)
F (0.5000, 0.5000, 0.0000)

Output
The theoretical density is 4.1 Mg/m³. The spin magnetization comes out at 38.15 μB per cell.

How far above the most stable structure does each one sit? In meV per atom: entry a 605; entry b 0.

Entry a
DFT (PBE+U) results for ZnCr2F after structural relaxation.

Cell lengths 6.3990, 6.3990, 6.3990 Å; angles 90.00, 90.00, 90.00 degrees
Fractional coordinates of all 16 atoms:
Zn (0.0000, 0.0000, 0.0000)
Zn (0.0000, 0.5000, 0.5000)
Zn (0.5000, 0.0000, 0.5000)
Zn (0.5000, 0.5000, 0.0000)
Cr (0.2500, 0.2500, 0.2500)
Cr (0.2500, 0.2500, 0.7500)
Cr (0.2500, 0.7500, 0.2500)
Cr (0.2500, 0.7500, 0.7500)
Cr (0.7500, 0.2500, 0.2500)
Cr (0.7500, 0.2500, 0.7500)
Cr (0.7500, 0.7500, 0.2500)
Cr (0.7500, 0.7500, 0.7500)
F (0.0000, 0.0000, 0.5000)
F (0.0000, 0.5000, 0.0000)
F (0.5000, 0.0000, 0.0000)
F (0.5000, 0.5000, 0.5000)

Output
The theoretical density is 4.8 Mg/m³. The spin magnetization comes out at 37.59 μB per cell.

Entry b
DFT (PBE+U) results for ZnCr2F after structural relaxation.

Cell lengths 6.6798, 6.6798, 6.1619 Å; angles 90.00, 90.00, 90.00 degrees
Fractional coordinates of all 16 atoms:
Zn (0.0000, 0.0000, 0.0000)
Zn (0.0000, 0.5000, 0.2500)
Zn (0.5000, 0.0000, 0.7500)
Zn (0.5000, 0.5000, 0.5000)
Cr (0.1937, 0.2500, 0.6250)
Cr (0.2500, 0.6937, 0.8750)
Cr (0.2500, 0.8063, 0.3750)
Cr (0.3063, 0.2500, 0.1250)
Cr (0.6937, 0.7500, 0.1250)
Cr (0.7500, 0.1937, 0.3750)
Cr (0.7500, 0.3063, 0.8750)
Cr (0.8063, 0.7500, 0.6250)
F (0.0000, 0.0000, 0.5000)
F (0.0000, 0.5000, 0.7500)
F (0.5000, 0.0000, 0.2500)
F (0.5000, 0.5000, 0.0000)

Output
The theoretical density is 4.6 Mg/m³. The spin magnetization comes out at 37.56 μB per cell.

How far above the most stable structure does each one sit? In meV per atom: entry a 167; entry b 0.

Entry a
DFT (PBE+U) results for ZnCr2F12 after structural relaxation.

Cell lengths 5.1413, 5.2651, 10.0994 Å; angles 76.79, 76.78, 62.13 degrees
Fractional coordinates of all 15 atoms:
Zn (0.0000, 0.0000, 0.0000)
Cr (0.1912, 0.5443, 0.3548)
Cr (0.8088, 0.4557, 0.6452)
F (0.0828, 0.7552, 0.8769)
F (0.1486, 0.6150, 0.1790)
F (0.1646, 0.4679, 0.5764)
F (0.2202, 0.8525, 0.3692)
F (0.4088, 0.9262, 0.9416)
F (0.4893, 0.7811, 0.6366)
F (0.5107, 0.2189, 0.3634)
F (0.5912, 0.0738, 0.0584)
F (0.7798, 0.1475, 0.6308)
F (0.8354, 0.5321, 0.4236)
F (0.8514, 0.3850, 0.8210)
F (0.9172, 0.2448, 0.1231)

Output
The theoretical density is 2.8 Mg/m³. The spin magnetization comes out at 6.04 μB per cell.

Entry b
DFT (PBE+U) results for ZnCr2F12 after structural relaxation.

Cell lengths 5.1175, 5.3507, 8.9527 Å; angles 74.22, 89.53, 62.03 degrees
Fractional coordinates of all 15 atoms:
Zn (0.0000, 0.0000, 0.0000)
Cr (0.2677, 0.5026, 0.7436)
Cr (0.7323, 0.4974, 0.2564)
F (0.0096, 0.2782, 0.4198)
F (0.0311, 0.7289, 0.8682)
F (0.0864, 0.2700, 0.8149)
F (0.4271, 0.7335, 0.7046)
F (0.4448, 0.7429, 0.0754)
F (0.4884, 0.2588, 0.6430)
F (0.5116, 0.7412, 0.3570)
F (0.5552, 0.2571, 0.9246)
F (0.5729, 0.2665, 0.2954)
F (0.9136, 0.7300, 0.1851)
F (0.9689, 0.2711, 0.1318)
F (0.9904, 0.7218, 0.5802)

Output
The theoretical density is 3.2 Mg/m³. The spin magnetization comes out at 2.00 μB per cell.

How far above the most stable structure does each one sit? In meV per atom: entry a 205; entry b 0.